# Pm4Sb2PbSe (PBE, relaxed)
data_Pm4Sb2PbSe
_chemical_formula_sum 'Pm4 Sb2 Pb1 Se1'
_symmetry_space_group_name_H-M 'P 1 2/m 1'
_symmetry_Int_Tables_number 10
_symmetry_space_group_name_Hall '-P 2y'
_cell_length_a 7.697
_cell_length_b 4.424
_cell_length_c 7.710
_cell_angle_alpha 90.00
_cell_angle_beta 109.31
_cell_angle_gamma 90.00
loop_
_atom_site_label
_atom_site_fract_x
_atom_site_fract_y
_atom_site_fract_z
Pm1 0.246 0.000 0.246
Pm2 0.249 0.500 0.756
Sb1 0.500 0.000 0.000
Sb2 0.500 0.500 0.500
Pb1 0.000 0.000 0.500
Se1 0.000 0.500 0.000
# uncorrected energy = -43.9 eV per cell
# V = 247.8 Å³ per cell
# magnetic moment = 0.00 μB/f.u.